(1)
A relaxed SrLiGa2H8 crystal, computed with PBE.

CIF file:
```
data_SrLiGa2H8
_chemical_formula_sum 'Sr1 Li1 Ga2 H8'
_symmetry_space_group_name_H-M 'P 1'
_symmetry_Int_Tables_number 1
_cell_length_a 4.5375
_cell_length_b 4.5375
_cell_length_c 7.7298
_cell_angle_alpha 90.00
_cell_angle_beta 90.00
_cell_angle_gamma 120.00
loop_
_symmetry_equiv_pos_as_xyz
'x,y,z'
loop_
_atom_site_label
_atom_site_type_symbol
_atom_site_fract_x
_atom_site_fract_y
_atom_site_fract_z
Sr1 Sr 0.0000 0.0000 0.0000
Li1 Li 0.0000 0.0000 0.5000
Ga1 Ga 0.3333 0.6667 0.7316
Ga2 Ga 0.6667 0.3333 0.2684
H1 H 0.0151 0.3101 0.6817
H2 H 0.2950 0.9849 0.6817
H3 H 0.3101 0.2950 0.3183
H4 H 0.3333 0.6667 0.9555
H5 H 0.6667 0.3333 0.0445
H6 H 0.6899 0.7050 0.6817
H7 H 0.7050 0.0151 0.3183
H8 H 0.9849 0.6899 0.3183
```

Values from the calculation:
Symmetry = P-3
Crystal system = trigonal
Electronic total energy = -0.22992 Ry/atom

=====

(2)
A relaxed ZnFePt crystal, computed with PBE.

CIF file:
```
data_ZnFePt
_chemical_formula_sum 'Zn1 Fe1 Pt1'
_symmetry_space_group_name_H-M 'P 1'
_symmetry_Int_Tables_number 1
_cell_length_a 4.2494
_cell_length_b 4.2494
_cell_length_c 2.7044
_cell_angle_alpha 90.00
_cell_angle_beta 90.00
_cell_angle_gamma 120.00
loop_
_symmetry_equiv_pos_as_xyz
'x,y,z'
loop_
_atom_site_label
_atom_site_type_symbol
_atom_site_fract_x
_atom_site_fract_y
_atom_site_fract_z
Zn1 Zn 0.0000 0.0000 0.0000
Fe1 Fe 0.3333 0.6667 0.3239
Pt1 Pt 0.6667 0.3333 0.6845
```

Values from the calculation:
Symmetry = P3m1
Crystal system = trigonal
Electronic total energy = -0.40026 Ry/atom
E_form = -54 kJ/mol of formula units

=====

(3)
A relaxed Ce2YHf crystal, computed with PBE.

CIF file:
```
data_Ce2YHf
_chemical_formula_sum 'Ce2 Y1 Hf1'
_symmetry_space_group_name_H-M 'P 1'
_symmetry_Int_Tables_number 1
_cell_length_a 5.4127
_cell_length_b 5.4127
_cell_length_c 5.4127
_cell_angle_alpha 60.00
_cell_angle_beta 60.00
_cell_angle_gamma 60.00
loop_
_symmetry_equiv_pos_as_xyz
'x,y,z'
loop_
_atom_site_label
_atom_site_type_symbol
_atom_site_fract_x
_atom_site_fract_y
_atom_site_fract_z
Ce1 Ce 0.2500 0.2500 0.2500
Ce2 Ce 0.7500 0.7500 0.7500
Y1 Y 0.0000 0.0000 0.0000
Hf1 Hf 0.5000 0.5000 0.5000
```

Values from the calculation:
Symmetry = Fm-3m
Crystal system = cubic
Electronic total energy = -0.49799 Ry/atom
E_form = 114 kJ/mol of formula units
Energy above the most stable polymorph in this dataset = 149 meV/atom

=====

(4)
A relaxed Ti3Cu4Pd2 crystal, computed with PBE.

CIF file:
```
data_Ti3Cu4Pd2
_chemical_formula_sum 'Ti6 Cu8 Pd4'
_symmetry_space_group_name_H-M 'P 1'
_symmetry_Int_Tables_number 1
_cell_length_a 7.4976
_cell_length_b 7.4976
_cell_length_c 4.6685
_cell_angle_alpha 90.52
_cell_angle_beta 90.52
_cell_angle_gamma 93.81
loop_
_symmetry_equiv_pos_as_xyz
'x,y,z'
loop_
_atom_site_label
_atom_site_type_symbol
_atom_site_fract_x
_atom_site_fract_y
_atom_site_fract_z
Ti1 Ti 0.0229 0.9771 0.7500
Ti2 Ti 0.3136 0.5003 0.0024
Ti3 Ti 0.5003 0.3136 0.5024
Ti4 Ti 0.4997 0.6864 0.4976
Ti5 Ti 0.6864 0.4997 0.9976
Ti6 Ti 0.9771 0.0229 0.2500
Cu1 Cu 0.1644 0.6487 0.5355
Cu2 Cu 0.1698 0.3183 0.4742
Cu3 Cu 0.3183 0.1698 0.9742
Cu4 Cu 0.3513 0.8356 0.9645
Cu5 Cu 0.6487 0.1644 0.0355
Cu6 Cu 0.6817 0.8302 0.0258
Cu7 Cu 0.8302 0.6817 0.5258
Cu8 Cu 0.8356 0.3513 0.4645
Pd1 Pd 0.0076 0.6826 0.0406
Pd2 Pd 0.3174 0.9924 0.4594
Pd3 Pd 0.6826 0.0076 0.5406
Pd4 Pd 0.9924 0.3174 0.9594
```

Values from the calculation:
Symmetry = C2/c
Crystal system = monoclinic
Electronic total energy = -0.42400 Ry/atom
E_form = -141 kJ/mol of formula units